1.
# PPbBr2F PBE-GGA relaxed
data_PPbBr2F
_chemical_formula_sum 'P2 Pb2 Br4 F2'
_cell_length_a 10.452
_cell_length_b 4.665
_cell_length_c 6.636
_cell_angle_alpha 90.00
_cell_angle_beta 99.35
_cell_angle_gamma 90.00
_symmetry_space_group_name_H-M 'C 1 m 1'
_symmetry_Int_Tables_number 8
loop_
_symmetry_equiv_pos_as_xyz
'x,y,z'
'x,-y,z'
'x+1/2,y+1/2,z'
'x+1/2,-y+1/2,z'
loop_
_atom_site_label
_atom_site_type_symbol
_atom_site_fract_x
_atom_site_fract_y
_atom_site_fract_z
P1 P 0.000 0.000 0.000
Pb1 Pb 0.061 0.500 0.260
Br1 Br 0.103 0.000 0.728
Br2 Br 0.287 0.000 0.304
F1 F 0.350 0.500 0.888
# Final energy in eV per atom: -3.722
# Total magnetization in μB per atom: 0.000
# Relative energy among the computed polymorphs in meV/atom: 0

***

2.
# PPbBr2F PBE-GGA relaxed
data_PPbBr2F
_chemical_formula_sum 'P1 Pb1 Br2 F1'
_cell_length_a 4.774
_cell_length_b 5.721
_cell_length_c 6.159
_cell_angle_alpha 108.52
_cell_angle_beta 91.78
_cell_angle_gamma 113.38
_symmetry_space_group_name_H-M 'P 1'
_symmetry_Int_Tables_number 1
loop_
_symmetry_equiv_pos_as_xyz
'x,y,z'
loop_
_atom_site_label
_atom_site_type_symbol
_atom_site_fract_x
_atom_site_fract_y
_atom_site_fract_z
P1 P 0.000 0.000 0.000
Pb1 Pb 0.015 0.115 0.536
Br1 Br 0.346 0.748 0.440
Br2 Br 0.748 0.530 0.871
F1 F 0.360 0.037 0.036
# Final energy in eV per atom: -3.680
# Total magnetization in μB per atom: 0.000
# Relative energy among the computed polymorphs in meV/atom: 41

***

3.
# PPbBr2F PBE-GGA relaxed
data_PPbBr2F
_chemical_formula_sum 'P1 Pb1 Br2 F1'
_cell_length_a 4.609
_cell_length_b 5.782
_cell_length_c 6.711
_cell_angle_alpha 83.00
_cell_angle_beta 89.07
_cell_angle_gamma 66.52
_symmetry_space_group_name_H-M 'P 1'
_symmetry_Int_Tables_number 1
loop_
_symmetry_equiv_pos_as_xyz
'x,y,z'
loop_
_atom_site_label
_atom_site_type_symbol
_atom_site_fract_x
_atom_site_fract_y
_atom_site_fract_z
P1 P 0.000 0.000 0.000
Pb1 Pb 0.498 0.991 0.262
Br1 Br 0.145 0.721 0.775
Br2 Br 0.774 0.436 0.309
F1 F 0.874 0.260 0.845
# Final energy in eV per atom: -3.708
# Total magnetization in μB per atom: 0.000
# Relative energy among the computed polymorphs in meV/atom: 14

***

4.
# Rb2PBr6F PBE-GGA relaxed
data_Rb2PBr6F
_chemical_formula_sum 'Rb4 P2 Br12 F2'
_cell_length_a 7.296
_cell_length_b 7.296
_cell_length_c 10.871
_cell_angle_alpha 90.00
_cell_angle_beta 90.00
_cell_angle_gamma 90.00
_symmetry_space_group_name_H-M 'I 4/m m m'
_symmetry_Int_Tables_number 139
_symmetry_space_group_name_Hall '-I 4 2'
loop_
_atom_site_label
_atom_site_type_symbol
_atom_site_fract_x
_atom_site_fract_y
_atom_site_fract_z
Rb1 Rb 0.000 0.500 0.250
P1 P 0.000 0.000 0.000
Br1 Br 0.000 0.000 0.225
Br2 Br 0.234 0.234 0.000
F1 F 0.000 0.000 0.500
# Final energy in eV per atom: -2.855
# Total magnetization in μB per atom: 0.000

***

5.
# Rb2PBr5F PBE-GGA relaxed
data_Rb2PBr5F
_chemical_formula_sum 'Rb4 P2 Br10 F2'
_cell_length_a 7.544
_cell_length_b 7.544
_cell_length_c 10.366
_cell_angle_alpha 90.00
_cell_angle_beta 90.00
_cell_angle_gamma 90.00
_symmetry_space_group_name_H-M 'I 4 m m'
_symmetry_Int_Tables_number 107
_symmetry_space_group_name_Hall 'I 4 -2'
loop_
_atom_site_label
_atom_site_type_symbol
_atom_site_fract_x
_atom_site_fract_y
_atom_site_fract_z
Rb1 Rb 0.000 0.500 0.000
P1 P 0.000 0.000 0.250
Br1 Br 0.000 0.000 0.997
Br2 Br 0.234 0.234 0.252
F1 F 0.000 0.000 0.411
# Final energy in eV per atom: -3.145
# Total magnetization in μB per atom: 0.000

***

6.
# PRu2BrF PBE-GGA relaxed
data_PRu2BrF
_chemical_formula_sum 'P1 Ru2 Br1 F1'
_cell_length_a 4.656
_cell_length_b 4.656
_cell_length_c 4.109
_cell_angle_alpha 90.00
_cell_angle_beta 90.00
_cell_angle_gamma 90.00
_symmetry_space_group_name_H-M 'P 4/m m m'
_symmetry_Int_Tables_number 123
_symmetry_space_group_name_Hall '-P 4 2'
loop_
_atom_site_label
_atom_site_type_symbol
_atom_site_fract_x
_atom_site_fract_y
_atom_site_fract_z
P1 P 0.000 0.000 0.000
Ru1 Ru 0.000 0.500 0.500
Br1 Br 0.500 0.500 0.500
F1 F 0.500 0.500 0.000
# Final energy in eV per atom: -4.382
# Total magnetization in μB per atom: 0.440